1.
## ScTl2Cl (PBE)

Data for an optimized crystal structure of ScTl2Cl.

Cell: 4.8067 3.6596 11.6849 Å, 90.00 90.00 90.00°
Space group Amm2 (No. 38)
Inequivalent atoms, fractional coordinates:
Sc 0.0000 0.0000 0.0000
Tl 0.0000 0.0000 0.2652
Tl 0.5000 0.0000 0.6270
Cl 0.5000 0.0000 0.9079

## Properties
* total magnetic moment: 0.001 μB/f.u.
* energy relative to the elements, uncorrected: -11.36 kcal/mol of atoms



2.
## ZrTaReMo (PBE)

Data for an optimized crystal structure of ZrTaReMo.

Cell: 6.5291 6.5291 6.5291 Å, 90.00 90.00 90.00°
Space group F-43m (No. 216)
Inequivalent atoms, fractional coordinates:
Zr 0.0000 0.0000 0.0000
Ta 0.0000 0.0000 0.5000
Re 0.2500 0.2500 0.7500
Mo 0.2500 0.2500 0.2500

## Properties
* total magnetic moment: 0.000 μB/f.u.
* ΔE_f: -208 meV per atom



3.
## AgSbHRh2 (PBE)

Data for an optimized crystal structure of AgSbHRh2.

Cell: 4.9050 4.9050 5.2499 Å, 90.00 90.00 90.00°
Space group P4/mmm (No. 123)
Inequivalent atoms, fractional coordinates:
Ag 0.0000 0.0000 0.0000
Sb 0.0000 0.0000 0.5000
H 0.5000 0.5000 0.0000
Rh 0.0000 0.5000 0.5000

## Properties
* total magnetic moment: 0.477 μB/f.u.
* energy above the lowest structure with this stoichiometry: 1.4031 eV/atom



Question: Number 3 is which compound?
Answer: AgSbHRh2



Question: Which formula does entry 3 have?
Answer: AgSbHRh2



Copy entry 1 word for word.
## ScTl2Cl (PBE)

Data for an optimized crystal structure of ScTl2Cl.

Cell: 4.8067 3.6596 11.6849 Å, 90.00 90.00 90.00°
Space group Amm2 (No. 38)
Inequivalent atoms, fractional coordinates:
Sc 0.0000 0.0000 0.0000
Tl 0.0000 0.0000 0.2652
Tl 0.5000 0.0000 0.6270
Cl 0.5000 0.0000 0.9079

## Properties
* total magnetic moment: 0.001 μB/f.u.
* energy relative to the elements, uncorrected: -11.36 kcal/mol of atoms